VASP calculation (meta-GGA SCAN) on a crystal of B5PH4Cl relaxed with PBEsol.

Lattice parameters (Å, degrees): 12.3777 13.4139 13.1505 90.00 90.00 90.00
Last column: nearest neighbours and their distance in Å.
Positions (direct):
B: 0.0988 0.0866 0.0978  1 H 1.20
B: 0.0988 0.4134 0.5978  1 H 1.20
B: 0.1246 0.5702 0.1116  1 H 1.20
B: 0.1246 0.9298 0.6116  1 H 1.20
B: 0.1658 0.0218 0.1966  1 H 1.20
B: 0.1658 0.4782 0.6966  1 H 1.20
B: 0.1706 0.1525 0.1978  3 B 1.75-1.82, 1 Cl 1.78
B: 0.1706 0.3475 0.6978  3 B 1.75-1.82, 1 Cl 1.78
B: 0.1716 0.5236 0.5700  1 H 1.20
B: 0.1716 0.9764 0.0700  1 H 1.20
B: 0.1832 0.0776 0.9843  1 H 1.20
B: 0.1832 0.4224 0.4843  1 H 1.20
B: 0.1868 0.6373 0.0066  3 B 1.76-1.82, 1 Cl 1.78
B: 0.1868 0.8627 0.5066  3 B 1.76-1.82, 1 Cl 1.78
B: 0.2009 0.5074 0.0176  1 H 1.20
B: 0.2009 0.9926 0.5176  1 H 1.20
B: 0.2090 0.5797 0.2252  1 H 1.20
B: 0.2090 0.9203 0.7252  1 H 1.20
B: 0.2122 0.0277 0.6472  1 H 1.20
B: 0.2122 0.4723 0.1472  1 H 1.20
B: 0.2878 0.5277 0.6472  1 H 1.20
B: 0.2878 0.9723 0.1472  1 H 1.20
B: 0.2910 0.0797 0.2252  1 H 1.20
B: 0.2910 0.4203 0.7252  1 H 1.20
B: 0.2991 0.0074 0.0176  1 H 1.20
B: 0.2991 0.4926 0.5176  1 H 1.20
B: 0.3132 0.1373 0.0066  3 B 1.76-1.82, 1 Cl 1.78
B: 0.3132 0.3627 0.5066  3 B 1.76-1.82, 1 Cl 1.78
B: 0.3168 0.5776 0.9843  1 H 1.20
B: 0.3168 0.9224 0.4843  1 H 1.20
B: 0.3284 0.0236 0.5700  1 H 1.20
B: 0.3284 0.4764 0.0700  1 H 1.20
B: 0.3294 0.6525 0.1978  3 B 1.75-1.82, 1 Cl 1.78
B: 0.3294 0.8475 0.6978  3 B 1.75-1.82, 1 Cl 1.78
B: 0.3342 0.5218 0.1966  1 H 1.20
B: 0.3342 0.9782 0.6966  1 H 1.20
B: 0.3754 0.0702 0.1116  1 H 1.20
B: 0.3754 0.4298 0.6116  1 H 1.20
B: 0.4012 0.5866 0.0978  1 H 1.20
B: 0.4012 0.9134 0.5978  1 H 1.20
B: 0.5988 0.0866 0.4022  1 H 1.20
B: 0.5988 0.4134 0.9022  1 H 1.20
B: 0.6246 0.5702 0.3884  1 H 1.20
B: 0.6246 0.9298 0.8884  1 H 1.20
B: 0.6658 0.0218 0.3034  1 H 1.20
B: 0.6658 0.4782 0.8034  1 H 1.20
B: 0.6706 0.1525 0.3022  3 B 1.75-1.82, 1 Cl 1.78
B: 0.6706 0.3475 0.8022  3 B 1.75-1.82, 1 Cl 1.78
B: 0.6716 0.5236 0.9300  1 H 1.20
B: 0.6716 0.9764 0.4300  1 H 1.20
B: 0.6832 0.0776 0.5157  1 H 1.20
B: 0.6832 0.4224 0.0157  1 H 1.20
B: 0.6868 0.6373 0.4934  3 B 1.76-1.82, 1 Cl 1.78
B: 0.6868 0.8627 0.9934  3 B 1.76-1.82, 1 Cl 1.78
B: 0.7009 0.5074 0.4824  1 H 1.20
B: 0.7009 0.9926 0.9824  1 H 1.20
B: 0.7090 0.5797 0.2748  1 H 1.20
B: 0.7090 0.9203 0.7748  1 H 1.20
B: 0.7122 0.0277 0.8528  1 H 1.20
B: 0.7122 0.4723 0.3528  1 H 1.20
B: 0.7878 0.5277 0.8528  1 H 1.20
B: 0.7878 0.9723 0.3528  1 H 1.20
B: 0.7910 0.0797 0.2748  1 H 1.20
B: 0.7910 0.4203 0.7748  1 H 1.20
B: 0.7991 0.0074 0.4824  1 H 1.20
B: 0.7991 0.4926 0.9824  1 H 1.20
B: 0.8132 0.1373 0.4934  3 B 1.76-1.82, 1 Cl 1.78
B: 0.8132 0.3627 0.9934  3 B 1.76-1.82, 1 Cl 1.78
B: 0.8168 0.5776 0.5157  1 H 1.20
B: 0.8168 0.9224 0.0157  1 H 1.20
B: 0.8284 0.0236 0.9300  1 H 1.20
B: 0.8284 0.4764 0.4300  1 H 1.20
B: 0.8294 0.6525 0.3022  3 B 1.75-1.82, 1 Cl 1.78
B: 0.8294 0.8475 0.8022  3 B 1.75-1.82, 1 Cl 1.78
B: 0.8342 0.5218 0.3034  1 H 1.20
B: 0.8342 0.9782 0.8034  1 H 1.20
B: 0.8754 0.0702 0.3884  1 H 1.20
B: 0.8754 0.4298 0.8884  1 H 1.20
B: 0.9012 0.5866 0.4022  1 H 1.20
B: 0.9012 0.9134 0.9022  1 H 1.20
P: 0.1704 0.2128 0.0493  4 B 2.01-2.11
P: 0.1704 0.2872 0.5493  4 B 2.01-2.11
P: 0.1771 0.7070 0.1507  4 B 2.01-2.12
P: 0.1771 0.7930 0.6507  4 B 2.01-2.12
P: 0.3229 0.2070 0.1507  4 B 2.01-2.12
P: 0.3229 0.2930 0.6507  4 B 2.01-2.12
P: 0.3296 0.7128 0.0493  4 B 2.01-2.11
P: 0.3296 0.7872 0.5493  4 B 2.01-2.11
P: 0.6704 0.2128 0.4507  4 B 2.01-2.11
P: 0.6704 0.2872 0.9507  4 B 2.01-2.11
P: 0.6771 0.7070 0.3493  4 B 2.01-2.12
P: 0.6771 0.7930 0.8493  4 B 2.01-2.12
P: 0.8229 0.2070 0.3493  4 B 2.01-2.12
P: 0.8229 0.2930 0.8493  4 B 2.01-2.12
P: 0.8296 0.7128 0.4507  4 B 2.01-2.11
P: 0.8296 0.7872 0.9507  4 B 2.01-2.11
H: 0.0026 0.0955 0.0933  1 B 1.20
H: 0.0026 0.4045 0.5933  1 B 1.20
H: 0.0280 0.5674 0.1160  1 B 1.20
H: 0.0280 0.9326 0.6160  1 B 1.20
H: 0.1146 0.5171 0.7629  1 B 1.20
H: 0.1146 0.9829 0.2629  1 B 1.20
H: 0.1234 0.5969 0.5436  1 B 1.20
H: 0.1234 0.9031 0.0436  1 B 1.20
H: 0.1460 0.0798 0.9002  1 B 1.20
H: 0.1460 0.4202 0.4002  1 B 1.20
H: 0.1560 0.0421 0.4546  1 B 1.20
H: 0.1560 0.4579 0.9546  1 B 1.20
H: 0.1718 0.5839 0.3092  1 B 1.20
H: 0.1718 0.9161 0.8092  1 B 1.20
H: 0.1742 0.1038 0.6793  1 B 1.20
H: 0.1742 0.3962 0.1793  1 B 1.20
H: 0.3258 0.6038 0.6793  1 B 1.20
H: 0.3258 0.8962 0.1793  1 B 1.20
H: 0.3282 0.0839 0.3092  1 B 1.20
H: 0.3282 0.4161 0.8092  1 B 1.20
H: 0.3440 0.5421 0.4546  1 B 1.20
H: 0.3440 0.9579 0.9546  1 B 1.20
H: 0.3540 0.5798 0.9002  1 B 1.20
H: 0.3540 0.9202 0.4002  1 B 1.20
H: 0.3766 0.0969 0.5436  1 B 1.20
H: 0.3766 0.4031 0.0436  1 B 1.20
H: 0.3854 0.0171 0.7629  1 B 1.20
H: 0.3854 0.4829 0.2629  1 B 1.20
H: 0.4720 0.0674 0.1160  1 B 1.20
H: 0.4720 0.4326 0.6160  1 B 1.20
H: 0.4974 0.5955 0.0933  1 B 1.20
H: 0.4974 0.9045 0.5933  1 B 1.20
H: 0.5026 0.0955 0.4067  1 B 1.20
H: 0.5026 0.4045 0.9067  1 B 1.20
H: 0.5280 0.5674 0.3840  1 B 1.20
H: 0.5280 0.9326 0.8840  1 B 1.20
H: 0.6146 0.5171 0.7371  1 B 1.20
H: 0.6146 0.9829 0.2371  1 B 1.20
H: 0.6234 0.5969 0.9564  1 B 1.20
H: 0.6234 0.9031 0.4564  1 B 1.20
H: 0.6460 0.0798 0.5998  1 B 1.20
H: 0.6460 0.4202 0.0998  1 B 1.20
H: 0.6560 0.0421 0.0454  1 B 1.20
H: 0.6560 0.4579 0.5454  1 B 1.20
H: 0.6718 0.5839 0.1908  1 B 1.20
H: 0.6718 0.9161 0.6908  1 B 1.20
H: 0.6742 0.1038 0.8207  1 B 1.20
H: 0.6742 0.3962 0.3207  1 B 1.20
H: 0.8258 0.6038 0.8207  1 B 1.20
H: 0.8258 0.8962 0.3207  1 B 1.20
H: 0.8282 0.0839 0.1908  1 B 1.20
H: 0.8282 0.4161 0.6908  1 B 1.20
H: 0.8440 0.5421 0.0454  1 B 1.20
H: 0.8440 0.9579 0.5454  1 B 1.20
H: 0.8540 0.5798 0.5998  1 B 1.20
H: 0.8540 0.9202 0.0998  1 B 1.20
H: 0.8766 0.0969 0.9564  1 B 1.20
H: 0.8766 0.4031 0.4564  1 B 1.20
H: 0.8854 0.0171 0.7371  1 B 1.20
H: 0.8854 0.4829 0.2371  1 B 1.20
H: 0.9720 0.0674 0.3840  1 B 1.20
H: 0.9720 0.4326 0.8840  1 B 1.20
H: 0.9974 0.5955 0.4067  1 B 1.20
H: 0.9974 0.9045 0.9067  1 B 1.20
Cl: 0.1044 0.2286 0.2893  1 B 1.78
Cl: 0.1044 0.2714 0.7893  1 B 1.78
Cl: 0.1107 0.6980 0.9101  1 B 1.78
Cl: 0.1107 0.8020 0.4101  1 B 1.78
Cl: 0.3893 0.1980 0.9101  1 B 1.78
Cl: 0.3893 0.3020 0.4101  1 B 1.78
Cl: 0.3956 0.7286 0.2893  1 B 1.78
Cl: 0.3956 0.7714 0.7893  1 B 1.78
Cl: 0.6044 0.2286 0.2107  1 B 1.78
Cl: 0.6044 0.2714 0.7107  1 B 1.78
Cl: 0.6107 0.6980 0.5899  1 B 1.78
Cl: 0.6107 0.8020 0.0899  1 B 1.78
Cl: 0.8893 0.1980 0.5899  1 B 1.78
Cl: 0.8893 0.3020 0.0899  1 B 1.78
Cl: 0.8956 0.7286 0.2107  1 B 1.78
Cl: 0.8956 0.7714 0.7107  1 B 1.78

Output
total DFT energy (no corrections): -1156.240 eV per cell
space group: Pbca (61)
total magnetization: 0.000 Bohr magnetons per cell